Record 1
A relaxed NaLaNiPb crystal. Source: Alexandria via LeMat-Bulk, functional PBE.

Its formation energy from the elements is -189 meV/atom. Its total energy is -4.1226 eV per atom.

Structure (CIF):
```
data_NaLaNiPb
_cell_length_a 5.011
_cell_length_b 5.011
_cell_length_c 5.011
_cell_angle_alpha 60.00
_cell_angle_beta 60.00
_cell_angle_gamma 60.00
_space_group_name_H-M_alt 'P 1'
_space_group_IT_number 1
loop_
_space_group_symop_operation_xyz
'x,y,z'
loop_
_atom_site_label
_atom_site_type_symbol
_atom_site_fract_x
_atom_site_fract_y
_atom_site_fract_z
Na1 Na 0.000 0.000 0.000
La1 La 0.250 0.250 0.250
Ni1 Ni 0.500 0.500 0.500
Pb1 Pb 0.750 0.750 0.750
```


Record 2
A relaxed Na2LaNiPd crystal. Source: Alexandria via LeMat-Bulk, functional PBE.

Its formation energy from the elements is 285 meV/atom. Its total energy is -3.4233 eV per atom.

Structure (CIF):
```
data_Na2LaNiPd
_cell_length_a 5.002
_cell_length_b 5.002
_cell_length_c 5.293
_cell_angle_alpha 90.00
_cell_angle_beta 90.00
_cell_angle_gamma 90.00
_space_group_name_H-M_alt 'P 1'
_space_group_IT_number 1
loop_
_space_group_symop_operation_xyz
'x,y,z'
loop_
_atom_site_label
_atom_site_type_symbol
_atom_site_fract_x
_atom_site_fract_y
_atom_site_fract_z
Na1 Na 0.000 0.500 0.000
Na2 Na 0.500 0.000 0.000
La1 La 0.000 0.000 0.500
Ni1 Ni 0.000 0.000 0.000
Pd1 Pd 0.500 0.500 0.500
```


Record 3
A relaxed NaLaNiS2 crystal. Source: Alexandria via LeMat-Bulk, functional PBE.

Its total energy is -4.7303 eV per atom. Its energy relative to the elements, uncorrected is -65.0 kJ per mole of atoms.

Structure (CIF):
```
data_NaLaNiS2
_cell_length_a 4.700
_cell_length_b 4.700
_cell_length_c 4.398
_cell_angle_alpha 90.00
_cell_angle_beta 90.00
_cell_angle_gamma 90.00
_space_group_name_H-M_alt 'P 1'
_space_group_IT_number 1
loop_
_space_group_symop_operation_xyz
'x,y,z'
loop_
_atom_site_label
_atom_site_type_symbol
_atom_site_fract_x
_atom_site_fract_y
_atom_site_fract_z
Na1 Na 0.000 0.000 0.000
La1 La 0.500 0.500 0.000
Ni1 Ni 0.000 0.000 0.500
S1 S 0.000 0.500 0.500
S2 S 0.500 0.000 0.500
```


Record 4
A relaxed NaLa2ScNi crystal. Source: Alexandria via LeMat-Bulk, functional PBE.

Its energy above the most stable polymorph in this dataset is 0.481 eV/atom. Its formation energy from the elements is 515 meV/atom. Its total energy is -4.1424 eV per atom.

Structure (CIF):
```
data_NaLa2ScNi
_cell_length_a 5.910
_cell_length_b 5.910
_cell_length_c 4.548
_cell_angle_alpha 90.00
_cell_angle_beta 90.00
_cell_angle_gamma 90.00
_space_group_name_H-M_alt 'P 1'
_space_group_IT_number 1
loop_
_space_group_symop_operation_xyz
'x,y,z'
loop_
_atom_site_label
_atom_site_type_symbol
_atom_site_fract_x
_atom_site_fract_y
_atom_site_fract_z
Na1 Na 0.000 0.000 0.000
La1 La 0.000 0.500 0.500
La2 La 0.500 0.000 0.500
Sc1 Sc 0.500 0.500 0.500
Ni1 Ni 0.500 0.500 0.000
```


Record 5
A relaxed NaLa2ScNi crystal. Source: Alexandria via LeMat-Bulk, functional PBE.

Its energy above the most stable polymorph in this dataset is 0.000 eV/atom. Its formation energy from the elements is 34 meV/atom. Its total energy is -4.6234 eV per atom.

Structure (CIF):
```
data_NaLa2ScNi
_cell_length_a 5.524
_cell_length_b 5.524
_cell_length_c 5.205
_cell_angle_alpha 90.00
_cell_angle_beta 90.00
_cell_angle_gamma 90.00
_space_group_name_H-M_alt 'P 1'
_space_group_IT_number 1
loop_
_space_group_symop_operation_xyz
'x,y,z'
loop_
_atom_site_label
_atom_site_type_symbol
_atom_site_fract_x
_atom_site_fract_y
_atom_site_fract_z
Na1 Na 0.000 0.000 0.000
La1 La 0.000 0.500 0.500
La2 La 0.500 0.000 0.500
Sc1 Sc 0.500 0.500 0.000
Ni1 Ni 0.500 0.500 0.500
```


Record 6
A relaxed NaLaNiSn crystal. Source: Alexandria via LeMat-Bulk, functional PBE.

Its formation energy from the elements is -306 meV/atom. Its total energy is -4.3137 eV per atom.

Structure (CIF):
```
data_NaLaNiSn
_cell_length_a 4.951
_cell_length_b 4.951
_cell_length_c 4.951
_cell_angle_alpha 60.00
_cell_angle_beta 60.00
_cell_angle_gamma 60.00
_space_group_name_H-M_alt 'P 1'
_space_group_IT_number 1
loop_
_space_group_symop_operation_xyz
'x,y,z'
loop_
_atom_site_label
_atom_site_type_symbol
_atom_site_fract_x
_atom_site_fract_y
_atom_site_fract_z
Na1 Na 0.000 0.000 0.000
La1 La 0.250 0.250 0.250
Ni1 Ni 0.500 0.500 0.500
Sn1 Sn 0.750 0.750 0.750
```


Record 7
A relaxed NaSrLa2Ni crystal. Source: Alexandria via LeMat-Bulk, functional PBE.

Its energy above the most stable polymorph in this dataset is 0.077 eV/atom. Its formation energy from the elements is 64 meV/atom. Its total energy is -3.6636 eV per atom.

Structure (CIF):
```
data_NaSrLa2Ni
_cell_length_a 5.461
_cell_length_b 5.461
_cell_length_c 6.057
_cell_angle_alpha 90.00
_cell_angle_beta 90.00
_cell_angle_gamma 90.00
_space_group_name_H-M_alt 'P 1'
_space_group_IT_number 1
loop_
_space_group_symop_operation_xyz
'x,y,z'
loop_
_atom_site_label
_atom_site_type_symbol
_atom_site_fract_x
_atom_site_fract_y
_atom_site_fract_z
Na1 Na 0.000 0.000 0.000
Sr1 Sr 0.500 0.500 0.000
La1 La 0.000 0.500 0.500
La2 La 0.500 0.000 0.500
Ni1 Ni 0.000 0.000 0.500
```


Record 8
A relaxed NaSrLa2Ni crystal. Source: Alexandria via LeMat-Bulk, functional PBE.

Its energy above the most stable polymorph in this dataset is 0.000 eV/atom. Its formation energy from the elements is -13 meV/atom. Its total energy is -3.7403 eV per atom.

Structure (CIF):
```
data_NaSrLa2Ni
_cell_length_a 5.471
_cell_length_b 5.471
_cell_length_c 6.238
_cell_angle_alpha 90.00
_cell_angle_beta 90.00
_cell_angle_gamma 90.00
_space_group_name_H-M_alt 'P 1'
_space_group_IT_number 1
loop_
_space_group_symop_operation_xyz
'x,y,z'
loop_
_atom_site_label
_atom_site_type_symbol
_atom_site_fract_x
_atom_site_fract_y
_atom_site_fract_z
Na1 Na 0.000 0.000 0.000
Sr1 Sr 0.500 0.500 0.000
La1 La 0.000 0.500 0.500
La2 La 0.500 0.000 0.500
Ni1 Ni 0.500 0.500 0.500
```